Material: KVCdO4
Method: DFT, PBE with a Hubbard U
State: relaxed

Structure (POSCAR):
```
KVCdO4
1.0
5.840 0.000 0.000
0.000 6.099 0.000
-2.067 0.000 6.823
K V Cd O
2 2 2 8
Cartesian
0.404 1.525 3.064
3.369 4.574 3.760
0.977 4.574 0.990
2.796 1.525 5.833
-0.085 1.525 6.618
3.858 4.574 0.205
-0.499 4.574 1.939
-1.488 4.574 6.177
2.060 3.193 1.328
2.060 5.955 1.328
1.713 0.144 5.495
1.713 2.906 5.495
5.261 1.525 0.647
4.272 1.525 4.884
```

Properties
Space group   No. 11
Final energy   -5.874 eV/atom